Compound: BaMg2CrHg
Source: Alexandria via LeMat-Bulk
Functional: GGA-PBE
Structure: relaxed

The structure in CIF format:
```
data_BaMg2CrHg
_symmetry_space_group_name_H-M 'P 4/m m m'
_symmetry_Int_Tables_number 123
_symmetry_space_group_name_Hall '-P 4 2'
_cell_length_a 6.631
_cell_length_b 6.631
_cell_length_c 6.309
_cell_angle_alpha 90.00
_cell_angle_beta 90.00
_cell_angle_gamma 90.00
loop_
_atom_site_label
_atom_site_type_symbol
_atom_site_fract_x
_atom_site_fract_y
_atom_site_fract_z
Ba1 Ba 0.000 0.000 0.000
Mg1 Mg 0.000 0.500 0.000
Cr1 Cr 0.500 0.500 0.500
Hg1 Hg 0.000 0.000 0.500
```

Computed properties:
formation energy from the elements = 605 kJ/mol of formula units

=====

Compound: BaCrHg2N
Source: Alexandria via LeMat-Bulk
Functional: GGA-PBE
Structure: relaxed

The structure in CIF format:
```
data_BaCrHg2N
_symmetry_space_group_name_H-M 'P 4/m m m'
_symmetry_Int_Tables_number 123
_symmetry_space_group_name_Hall '-P 4 2'
_cell_length_a 6.789
_cell_length_b 6.789
_cell_length_c 4.511
_cell_angle_alpha 90.00
_cell_angle_beta 90.00
_cell_angle_gamma 90.00
loop_
_atom_site_label
_atom_site_type_symbol
_atom_site_fract_x
_atom_site_fract_y
_atom_site_fract_z
Ba1 Ba 0.000 0.000 0.000
Cr1 Cr 0.500 0.500 0.500
Hg1 Hg 0.000 0.500 0.000
N1 N 0.000 0.000 0.500
```

Computed properties:
E_form (uncorrected) = 1.079 eV/atom

=====

Calculated E_tot (eV for the cell shown), listed in the same order as above: -8.77, -15.08
Calculated total magnetic moment (μB/cell), listed in the same order as above: 4.7, 5.8